Compound: Er2HfS5
Source: OQMD via LeMat-Bulk
Functional: PBE
Structure: relaxed

Lattice parameters (Å, degrees): 11.483 7.671 7.207 90.00 90.00 90.00
Space group Pnma (No. 62)
Asymmetric unit:
Er 0.179 0.003 0.022 x8
Hf 0.006 0.750 0.576 x4
S 0.003 0.750 0.949 x4
S 0.095 0.037 0.661 x8
S 0.181 0.750 0.331 x4
S 0.208 0.250 0.310 x4

Computed properties:
Total DFT energy (no corrections): -6.83 eV per atom
Calculated volume: 19.84 Å³ per atom

Compound: ErHfSc
Source: OQMD via LeMat-Bulk
Functional: PBE
Structure: relaxed

Lattice parameters (Å, degrees): 7.072 7.072 7.072 90.00 90.00 90.00
Space group F-43m (No. 216)
Asymmetric unit:
Er 0.000 0.000 0.000 x4
Hf 0.250 0.250 0.250 x4
Sc 0.000 0.000 0.500 x4

Computed properties:
Calculated volume: 29.47 Å³ per atom
ΔH_f (0 K): 0.90 eV per atom
Energy above the most stable polymorph in this dataset: 0.000 eV/atom

Compound: ErHf3Si4
Source: OQMD via LeMat-Bulk
Functional: PBE
Structure: relaxed

Lattice parameters (Å, degrees): 5.344 3.771 7.118 90.00 90.68 90.00
Space group Pm (No. 6)
Asymmetric unit:
Er 0.000 0.000 0.000 x1
Hf 0.255 0.000 0.501 x1
Hf 0.497 0.500 0.150 x1
Hf 0.749 0.500 0.642 x1
Si 0.013 0.500 0.291 x1
Si 0.240 0.500 0.774 x1
Si 0.512 0.000 0.861 x1
Si 0.733 0.000 0.369 x1

Computed properties:
Total DFT energy (no corrections): -7.80 eV per atom
Calculated volume: 17.93 Å³ per atom

Compound: ErHfSn
Source: OQMD via LeMat-Bulk
Functional: PBE
Structure: relaxed

Lattice parameters (Å, degrees): 4.338 4.338 8.095 90.00 90.00 90.00
Space group P4/nmm (No. 129, origin choice 2)
Asymmetric unit:
Er 0.250 0.250 0.164 x2
Hf 0.250 0.750 0.500 x2
Sn 0.250 0.250 0.770 x2

Computed properties:
Total DFT energy (no corrections): -6.70 eV per atom
Calculated volume: 25.38 Å³ per atom

Compound: TbErHf
Source: OQMD via LeMat-Bulk
Functional: PBE
Structure: relaxed

Lattice parameters (Å, degrees): 7.306 7.306 7.306 90.00 90.00 90.00
Space group F-43m (No. 216)
Asymmetric unit:
Tb 0.000 0.000 0.000 x4
Er 0.000 0.000 0.500 x4
Hf 0.250 0.250 0.750 x4

Computed properties:
Calculated volume: 32.50 Å³ per atom
ΔH_f (0 K): 0.86 eV per atom
Energy above the most stable polymorph in this dataset: 0.000 eV/atom

Compound: ErHfTe
Source: OQMD via LeMat-Bulk
Functional: PBE
Structure: relaxed

Lattice parameters (Å, degrees): 6.860 6.860 6.860 90.00 90.00 90.00
Space group F-43m (No. 216)
Asymmetric unit:
Er 0.000 0.000 0.000 x4
Hf 0.000 0.000 0.500 x4
Te 0.250 0.250 0.250 x4

Computed properties:
Calculated volume: 26.91 Å³ per atom
Energy above the most stable polymorph in this dataset: 0.000 eV/atom

Compound: ErHfTh
Source: OQMD via LeMat-Bulk
Functional: PBE
Structure: relaxed

Lattice parameters (Å, degrees): 7.316 7.316 7.316 90.00 90.00 90.00
Space group F-43m (No. 216)
Asymmetric unit:
Er 0.000 0.000 0.000 x4
Hf 0.250 0.250 0.250 x4
Th 0.000 0.000 0.500 x4

Computed properties:
Calculated volume: 32.63 Å³ per atom
ΔH_f (0 K): 0.77 eV per atom
Energy above the most stable polymorph in this dataset: 0.000 eV/atom

Compound: Er2Hf2W
Source: OQMD via LeMat-Bulk
Functional: PBE
Structure: relaxed

Lattice parameters (Å, degrees): 8.386 4.468 7.029 90.00 90.95 90.00
Space group C2/m (No. 12)
Asymmetric unit:
Er 0.157 0.000 0.343 x4
Hf 0.166 0.000 0.888 x4
W 0.000 0.500 0.000 x2

Computed properties:
Calculated volume: 26.34 Å³ per atom
ΔH_f (0 K): 0.39 eV per atom

Compound: YErHf
Source: OQMD via LeMat-Bulk
Functional: PBE
Structure: relaxed

Lattice parameters (Å, degrees): 7.316 7.316 7.316 90.00 90.00 90.00
Space group F-43m (No. 216)
Asymmetric unit:
Y 0.000 0.000 0.000 x4
Er 0.000 0.000 0.500 x4
Hf 0.250 0.250 0.750 x4

Computed properties:
Calculated volume: 32.63 Å³ per atom
ΔH_f (0 K): 0.87 eV per atom
Energy above the most stable polymorph in this dataset: 0.000 eV/atom

Compound: ErHfZn
Source: OQMD via LeMat-Bulk
Functional: PBE
Structure: relaxed

Lattice parameters (Å, degrees): 6.620 6.620 6.620 90.00 90.00 90.00
Space group F-43m (No. 216)
Asymmetric unit:
Er 0.000 0.000 0.000 x4
Hf 0.000 0.000 0.500 x4
Zn 0.250 0.250 0.250 x4

Computed properties:
Calculated volume: 24.18 Å³ per atom
ΔH_f (0 K): 0.26 eV per atom
Energy above the most stable polymorph in this dataset: 0.000 eV/atom

Compound: Er2Hg
Source: OQMD via LeMat-Bulk
Functional: PBE
Structure: relaxed

Lattice parameters (Å, degrees): 12.805 12.805 12.805 90.00 90.00 90.00
Space group Fd-3m (No. 227, origin choice 2)
Asymmetric unit:
Er 0.000 0.000 0.000 x16
Hg 0.125 0.125 0.125 x8

Computed properties:
Calculated volume: 87.49 Å³ per atom
ΔH_f (0 K): 1.32 eV per atom

Compound: ErHg3
Source: OQMD via LeMat-Bulk
Functional: PBE
Structure: relaxed

Lattice parameters (Å, degrees): 6.5729 6.5729 4.9769 90.00 90.00 120.00
Space group P6_3/mmc (No. 194)
Asymmetric unit:
Er 0.3333 0.6667 0.2500 x2
Hg 0.1666 0.3333 0.7500 x6

Computed properties:
Calculated volume: 23.28 Å³ per atom
ΔH_f (0 K): -0.32 eV per atom

Q: Number 10 is which compound?
A: ErHfZn

Q: Which of these has the lowest calculated volume?
A: ErHf3Si4

Q: Which of these has the lowest calculated volume?
A: ErHf3Si4